<a>
Entry from Alexandria via LeMat-Bulk: a geometry-optimized LaPbSeBr2 structure (GGA-PBE).

```
data_LaPbSeBr2
_chemical_formula_sum 'La1 Pb1 Se1 Br2'
_symmetry_space_group_name_H-M 'P 4/m m m'
_symmetry_Int_Tables_number 123
_symmetry_space_group_name_Hall '-P 4 2'
_cell_length_a 5.8094
_cell_length_b 5.8094
_cell_length_c 5.8101
_cell_angle_alpha 90.00
_cell_angle_beta 90.00
_cell_angle_gamma 90.00
loop_
_atom_site_label
_atom_site_fract_x
_atom_site_fract_y
_atom_site_fract_z
La1 0.0000 0.0000 0.0000
Pb1 0.5000 0.5000 0.5000
Se1 0.0000 0.0000 0.5000
Br1 0.0000 0.5000 0.0000
```

Properties
For the magnetic moment, the calculation gives 1.01 Bohr magnetons per cell. As for the crystal system: tetragonal. Its density is 4953 kg/m3.


<b>
Entry from Alexandria via LeMat-Bulk: a geometry-optimized LaPbSeBr2 structure (GGA-PBE).

```
data_LaPbSeBr2
_chemical_formula_sum 'La1 Pb1 Se1 Br2'
_symmetry_space_group_name_H-M 'P 4/m m m'
_symmetry_Int_Tables_number 123
_symmetry_space_group_name_Hall '-P 4 2'
_cell_length_a 5.6593
_cell_length_b 5.6593
_cell_length_c 5.8075
_cell_angle_alpha 90.00
_cell_angle_beta 90.00
_cell_angle_gamma 90.00
loop_
_atom_site_label
_atom_site_fract_x
_atom_site_fract_y
_atom_site_fract_z
La1 0.0000 0.0000 0.0000
Pb1 0.5000 0.5000 0.5000
Se1 0.5000 0.5000 0.0000
Br1 0.0000 0.5000 0.5000
```

Properties
For the magnetic moment, the calculation gives 0.95 Bohr magnetons per cell. As for the crystal system: tetragonal. Its density is 5222 kg/m3.


Which is the most stable structure? <a> is the most stable.


<a>
Entry from Alexandria via LeMat-Bulk: a geometry-optimized LaPbSe2Br structure (GGA-PBE).

```
data_LaPbSe2Br
_chemical_formula_sum 'La1 Pb1 Se2 Br1'
_symmetry_space_group_name_H-M 'P 4/m m m'
_symmetry_Int_Tables_number 123
_symmetry_space_group_name_Hall '-P 4 2'
_cell_length_a 5.5891
_cell_length_b 5.5891
_cell_length_c 5.4708
_cell_angle_alpha 90.00
_cell_angle_beta 90.00
_cell_angle_gamma 90.00
loop_
_atom_site_label
_atom_site_fract_x
_atom_site_fract_y
_atom_site_fract_z
La1 0.0000 0.0000 0.0000
Pb1 0.5000 0.5000 0.5000
Se1 0.0000 0.5000 0.5000
Br1 0.5000 0.5000 0.0000
```

Properties
For the magnetic moment, the calculation gives 0.31 Bohr magnetons per cell. As for the crystal system: tetragonal. Its density is 5674 kg/m3.


<b>
Entry from Alexandria via LeMat-Bulk: a geometry-optimized LaPbSe2Br structure (GGA-PBE).

```
data_LaPbSe2Br
_chemical_formula_sum 'La1 Pb1 Se2 Br1'
_symmetry_space_group_name_H-M 'P 4/m m m'
_symmetry_Int_Tables_number 123
_symmetry_space_group_name_Hall '-P 4 2'
_cell_length_a 5.7893
_cell_length_b 5.7893
_cell_length_c 5.6366
_cell_angle_alpha 90.00
_cell_angle_beta 90.00
_cell_angle_gamma 90.00
loop_
_atom_site_label
_atom_site_fract_x
_atom_site_fract_y
_atom_site_fract_z
La1 0.0000 0.0000 0.0000
Pb1 0.5000 0.5000 0.5000
Se1 0.0000 0.5000 0.0000
Br1 0.0000 0.0000 0.5000
```

Properties
For the magnetic moment, the calculation gives 0.00 Bohr magnetons per cell. As for the crystal system: tetragonal. Its density is 5133 kg/m3.


Which is the most stable structure? <b> is the most stable.


<a>
Entry from Alexandria via LeMat-Bulk: a geometry-optimized LaPd3Br structure (GGA-PBE).

```
data_LaPd3Br
_chemical_formula_sum 'La1 Pd3 Br1'
_symmetry_space_group_name_H-M 'P m -3 m'
_symmetry_Int_Tables_number 221
_symmetry_space_group_name_Hall '-P 4 2 3'
_cell_length_a 5.2491
_cell_length_b 5.2491
_cell_length_c 5.2491
_cell_angle_alpha 90.00
_cell_angle_beta 90.00
_cell_angle_gamma 90.00
loop_
_atom_site_label
_atom_site_fract_x
_atom_site_fract_y
_atom_site_fract_z
La1 0.0000 0.0000 0.0000
Pd1 0.0000 0.0000 0.5000
Br1 0.5000 0.5000 0.5000
```

Properties
For the magnetic moment, the calculation gives 0.00 Bohr magnetons per cell. As for the crystal system: cubic. Its density is 6178 kg/m3.


<b>
Entry from Alexandria via LeMat-Bulk: a geometry-optimized LaPd3Br structure (GGA-PBE).

```
data_LaPd3Br
_chemical_formula_sum 'La1 Pd3 Br1'
_symmetry_space_group_name_H-M 'P m -3 m'
_symmetry_Int_Tables_number 221
_symmetry_space_group_name_Hall '-P 4 2 3'
_cell_length_a 4.8981
_cell_length_b 4.8981
_cell_length_c 4.8981
_cell_angle_alpha 90.00
_cell_angle_beta 90.00
_cell_angle_gamma 90.00
loop_
_atom_site_label
_atom_site_fract_x
_atom_site_fract_y
_atom_site_fract_z
La1 0.0000 0.0000 0.0000
Pd1 0.0000 0.5000 0.5000
Br1 0.5000 0.5000 0.5000
```

Properties
For the magnetic moment, the calculation gives 0.00 Bohr magnetons per cell. As for the crystal system: cubic. Its density is 7603 kg/m3.


Which is the most stable structure? <b> is the most stable.


<a>
Entry from Alexandria via LeMat-Bulk: a geometry-optimized LaPdBr3 structure (GGA-PBE).

```
data_LaPdBr3
_chemical_formula_sum 'La1 Pd1 Br3'
_symmetry_space_group_name_H-M 'P m -3 m'
_symmetry_Int_Tables_number 221
_symmetry_space_group_name_Hall '-P 4 2 3'
_cell_length_a 5.8349
_cell_length_b 5.8349
_cell_length_c 5.8349
_cell_angle_alpha 90.00
_cell_angle_beta 90.00
_cell_angle_gamma 90.00
loop_
_atom_site_label
_atom_site_fract_x
_atom_site_fract_y
_atom_site_fract_z
La1 0.0000 0.0000 0.0000
Pd1 0.5000 0.5000 0.5000
Br1 0.0000 0.0000 0.5000
```

Properties
For the magnetic moment, the calculation gives 0.00 Bohr magnetons per cell. As for the crystal system: cubic. Its density is 4054 kg/m3.


<b>
Entry from Alexandria via LeMat-Bulk: a geometry-optimized LaPdBr3 structure (GGA-PBE).

```
data_LaPdBr3
_chemical_formula_sum 'La1 Pd1 Br3'
_symmetry_space_group_name_H-M 'P m -3 m'
_symmetry_Int_Tables_number 221
_symmetry_space_group_name_Hall '-P 4 2 3'
_cell_length_a 5.1992
_cell_length_b 5.1992
_cell_length_c 5.1992
_cell_angle_alpha 90.00
_cell_angle_beta 90.00
_cell_angle_gamma 90.00
loop_
_atom_site_label
_atom_site_fract_x
_atom_site_fract_y
_atom_site_fract_z
La1 0.0000 0.0000 0.0000
Pd1 0.5000 0.5000 0.5000
Br1 0.0000 0.5000 0.5000
```

Properties
For the magnetic moment, the calculation gives 0.54 Bohr magnetons per cell. As for the crystal system: cubic. Its density is 5731 kg/m3.


Which is the most stable structure? <a> is the most stable.


<a>
Entry from Alexandria via LeMat-Bulk: a geometry-optimized LaPdSe2Br structure (GGA-PBE).

```
data_LaPdSe2Br
_chemical_formula_sum 'La1 Pd1 Se2 Br1'
_symmetry_space_group_name_H-M 'P 4/m m m'
_symmetry_Int_Tables_number 123
_symmetry_space_group_name_Hall '-P 4 2'
_cell_length_a 5.8032
_cell_length_b 5.8032
_cell_length_c 5.7686
_cell_angle_alpha 90.00
_cell_angle_beta 90.00
_cell_angle_gamma 90.00
loop_
_atom_site_label
_atom_site_fract_x
_atom_site_fract_y
_atom_site_fract_z
La1 0.0000 0.0000 0.0000
Pd1 0.5000 0.5000 0.5000
Se1 0.0000 0.5000 0.0000
Br1 0.0000 0.0000 0.5000
```

Properties
For the magnetic moment, the calculation gives 1.68 Bohr magnetons per cell. As for the crystal system: tetragonal. Its density is 4130 kg/m3.


<b>
Entry from Alexandria via LeMat-Bulk: a geometry-optimized LaPdSe2Br structure (GGA-PBE).

```
data_LaPdSe2Br
_chemical_formula_sum 'La1 Pd1 Se2 Br1'
_symmetry_space_group_name_H-M 'P 4/m m m'
_symmetry_Int_Tables_number 123
_symmetry_space_group_name_Hall '-P 4 2'
_cell_length_a 5.0609
_cell_length_b 5.0609
_cell_length_c 4.9472
_cell_angle_alpha 90.00
_cell_angle_beta 90.00
_cell_angle_gamma 90.00
loop_
_atom_site_label
_atom_site_fract_x
_atom_site_fract_y
_atom_site_fract_z
La1 0.0000 0.0000 0.0000
Pd1 0.5000 0.5000 0.5000
Se1 0.0000 0.5000 0.5000
Br1 0.5000 0.5000 0.0000
```

Properties
For the magnetic moment, the calculation gives 0.00 Bohr magnetons per cell. As for the crystal system: tetragonal. Its density is 6332 kg/m3.


Which is the most stable structure? <b> is the most stable.


<a>
Entry from Alexandria via LeMat-Bulk: a geometry-optimized SrLa2PdBr structure (GGA-PBE).

```
data_SrLa2PdBr
_chemical_formula_sum 'Sr1 La2 Pd1 Br1'
_symmetry_space_group_name_H-M 'P 4/m m m'
_symmetry_Int_Tables_number 123
_symmetry_space_group_name_Hall '-P 4 2'
_cell_length_a 6.1804
_cell_length_b 6.1804
_cell_length_c 5.0636
_cell_angle_alpha 90.00
_cell_angle_beta 90.00
_cell_angle_gamma 90.00
loop_
_atom_site_label
_atom_site_fract_x
_atom_site_fract_y
_atom_site_fract_z
Sr1 0.0000 0.0000 0.0000
La1 0.0000 0.5000 0.0000
Pd1 0.0000 0.0000 0.5000
Br1 0.5000 0.5000 0.5000
```

Properties
For the magnetic moment, the calculation gives 0.00 Bohr magnetons per cell. As for the crystal system: tetragonal. Its density is 4737 kg/m3.


<b>
Entry from Alexandria via LeMat-Bulk: a geometry-optimized SrLa2PdBr structure (GGA-PBE).

```
data_SrLa2PdBr
_chemical_formula_sum 'Sr1 La2 Pd1 Br1'
_symmetry_space_group_name_H-M 'P 4/m m m'
_symmetry_Int_Tables_number 123
_symmetry_space_group_name_Hall '-P 4 2'
_cell_length_a 5.5757
_cell_length_b 5.5757
_cell_length_c 6.4785
_cell_angle_alpha 90.00
_cell_angle_beta 90.00
_cell_angle_gamma 90.00
loop_
_atom_site_label
_atom_site_fract_x
_atom_site_fract_y
_atom_site_fract_z
Sr1 0.0000 0.0000 0.0000
La1 0.0000 0.5000 0.5000
Pd1 0.0000 0.0000 0.5000
Br1 0.5000 0.5000 0.0000
```

Properties
For the magnetic moment, the calculation gives 0.00 Bohr magnetons per cell. As for the crystal system: tetragonal. Its density is 4549 kg/m3.


Which is the most stable structure? <b> is the most stable.